# 1
# PSI2 | Alexandria via LeMat-Bulk | PBE-GGA | relaxed
# Formation energy (no corrections) = 22 meV per atom
# E_tot = -12.55 eV per formula unit
# Excess energy over the best structure of this formula in the dataset = 0 meV/atom
# Crystal system = triclinic
# DOS(E_F) = 0.328 states/eV/atom
data_PSI2
_cell_length_a 3.167
_cell_length_b 7.042
_cell_length_c 7.432
_cell_angle_alpha 98.77
_cell_angle_beta 102.22
_cell_angle_gamma 102.93
_symmetry_space_group_name_H-M 'P 1'
_symmetry_Int_Tables_number 1
_symmetry_space_group_name_Hall 'P 1'
loop_
_atom_site_label
_atom_site_fract_x
_atom_site_fract_y
_atom_site_fract_z
_atom_site_occupancy
P1 0.000 0.000 0.000 1
S1 0.357 0.914 0.798 1
I1 0.851 0.286 0.421 1
I2 0.930 0.688 0.173 1



# 2
# Cd7AgHg3 | Alexandria via LeMat-Bulk | PBE-GGA | relaxed
# E_form = 3.77 kJ per mole of atoms
# E_tot = -9.73 eV per formula unit
# Crystal system = orthorhombic
# DOS(E_F) = 0.289 states/eV/atom
data_Cd7AgHg3
_cell_length_a 3.114
_cell_length_b 20.804
_cell_length_c 16.133
_cell_angle_alpha 90.00
_cell_angle_beta 90.00
_cell_angle_gamma 90.00
_symmetry_space_group_name_H-M 'C m c m'
_symmetry_Int_Tables_number 63
_symmetry_space_group_name_Hall '-C 2c 2'
loop_
_atom_site_label
_atom_site_fract_x
_atom_site_fract_y
_atom_site_fract_z
_atom_site_occupancy
Cd1 0.000 0.017 0.095 1
Cd2 0.000 0.113 0.250 1
Cd3 0.000 0.120 0.659 1
Cd4 0.000 0.255 0.585 1
Ag1 0.000 0.486 0.250 1
Hg1 0.000 0.255 0.250 1
Hg2 0.000 0.380 0.507 1



# 3
# Tl5P3 | Alexandria via LeMat-Bulk | PBE-GGA | relaxed
# E_form = 26.94 kJ per mole of atoms
# E_tot = -25.83 eV per formula unit
# Excess energy over the best structure of this formula in the dataset = 36 meV/atom
# Crystal system = hexagonal
# DOS(E_F) = 0.217 states/eV/atom
data_Tl5P3
_cell_length_a 8.7334
_cell_length_b 8.7334
_cell_length_c 6.3135
_cell_angle_alpha 90.00
_cell_angle_beta 90.00
_cell_angle_gamma 120.00
_symmetry_space_group_name_H-M 'P 63/m c m'
_symmetry_Int_Tables_number 193
_symmetry_space_group_name_Hall '-P 6c 2'
loop_
_atom_site_label
_atom_site_fract_x
_atom_site_fract_y
_atom_site_fract_z
_atom_site_occupancy
Tl1 0.0000 0.2773 0.2500 1
Tl2 0.3333 0.6667 0.0000 1
P1 0.0000 0.3504 0.7500 1